Material: BMo2PbO8
Method: DFT, PBE with a Hubbard U
State: optimized geometry

Unit cell a=5.4980 b=5.4980 c=8.1561 alpha=79.75 beta=79.75 gamma=72.09
Closest atoms and distances in Å follow each position.
Atoms (fractional coordinates):
O1 0.3257 0.7906 0.2588  1 Mo 1.78
O2 0.8588 0.8588 0.0722  1 B 1.26
O3 0.1412 0.1412 0.9278  1 B 1.26
O4 0.2094 0.6743 0.7412  1 Mo 1.78
O5 0.7906 0.3257 0.2588  1 Mo 1.78
O6 0.6743 0.2094 0.7412  1 Mo 1.78
O7 0.7359 0.7359 0.4488  1 Mo 1.79
O8 0.2641 0.2641 0.5512  1 Mo 1.79
Mo1 0.3339 0.3339 0.7417  3 O 1.78-1.79
Mo2 0.6661 0.6661 0.2583  3 O 1.78-1.79
Pb1 0.0000 0.0000 0.5000  6 O 2.47-2.59
B1 0.0000 0.0000 0.0000  2 O 1.26

For the final energy, the calculation gives -6.806 eV/atom. The density of states at the Fermi level is 2.5 states/eV/cell. As for the crystal system: monoclinic.